## w
Compound: Tb6NdSc2
Source: Alexandria
Functional: PBE
Structure: relaxed

Computed properties:
The density of states at the Fermi level comes out at 20.49 states/eV/cell. The crystal system is monoclinic.

Cell and atoms, written as extended XYZ:
```
18
Lattice="6.742 -6.470 0.000 6.742 6.470 0.000 -1.585 0.000 6.375" Properties=species:S:1:pos:R:3 pbc="T T T"
Tb 2.903 2.670 1.501
Tb 5.592 4.648 3.196
Tb 5.514 4.648 6.366
Tb 4.043 1.112 4.315
Tb 2.111 -2.670 4.688
Tb 4.836 -1.112 1.127
Tb 7.062 1.112 5.248
Tb 9.787 2.670 1.687
Tb 7.855 -1.112 2.060
Tb 6.384 -4.648 0.008
Tb 6.306 -4.648 3.179
Tb 8.995 -2.670 4.874
Nd 6.345 1.849 1.594
Nd 5.553 -1.849 4.781
Sc 1.076 0.377 5.548
Sc 1.869 -0.377 2.361
Sc 10.029 0.377 4.014
Sc 10.822 -0.377 0.826
```

=====

## x
Compound: Tb6NdSc2
Source: Alexandria
Functional: PBE
Structure: relaxed

Computed properties:
The density of states at the Fermi level comes out at 27.00 states/eV/cell. The crystal system is monoclinic.

Cell and atoms, written as extended XYZ:
```
18
Lattice="5.271 -4.932 0.000 5.271 4.932 0.000 -5.202 0.000 10.738" Properties=species:S:1:pos:R:3 pbc="T T T"
Tb 1.942 3.843 6.490
Tb 0.797 3.843 9.616
Tb -1.272 1.440 9.995
Tb 0.171 0.477 6.938
Tb 2.772 -0.477 1.570
Tb 1.329 -1.440 4.626
Tb 4.011 1.440 6.112
Tb 2.568 0.477 9.168
Tb 5.169 -0.477 3.799
Tb 6.612 -1.440 0.743
Tb 4.543 -3.843 1.121
Tb 3.398 -3.843 4.248
Nd 3.970 2.911 2.684
Nd 1.369 -2.911 8.053
Sc 1.336 1.621 3.871
Sc -1.265 -1.621 9.240
Sc 6.605 1.621 1.497
Sc 4.004 -1.621 6.866
```

=====

Taking the most stable structure as the zero point, the relative energies in kJ/mol of atoms are w 0.0; x 6.2.

=====

## w
Compound: TbNd3Sc2
Source: Alexandria
Functional: PBE
Structure: relaxed

Computed properties:
The density of states at the Fermi level comes out at 19.20 states/eV/cell. The crystal system is monoclinic.

Cell and atoms, written as extended XYZ:
```
12
Lattice="9.496 0.000 0.000 0.000 3.483 0.000 -1.006 0.000 11.338" Properties=species:S:1:pos:R:3 pbc="T T T"
Tb 1.894 0.871 4.061
Tb 6.596 2.612 7.277
Nd 0.560 2.612 1.398
Nd 1.577 2.612 9.816
Nd 3.170 2.612 6.886
Nd 5.319 0.871 4.452
Nd 6.913 0.871 1.522
Nd 7.930 0.871 9.941
Sc 0.113 0.871 7.000
Sc 3.948 2.612 1.677
Sc 4.542 0.871 9.661
Sc 8.377 2.612 4.338
```

=====

## x
Compound: TbNd3Sc2
Source: Alexandria
Functional: PBE
Structure: relaxed

Computed properties:
The density of states at the Fermi level comes out at 21.30 states/eV/cell. The crystal system is orthorhombic.

Cell and atoms, written as extended XYZ:
```
12
Lattice="7.262 -4.916 0.000 7.262 4.916 0.000 0.000 0.000 5.519" Properties=species:S:1:pos:R:3 pbc="T T T"
Tb 7.262 2.717 4.139
Tb 7.262 -2.717 1.380
Nd 3.737 1.310 1.380
Nd 3.737 -1.310 4.139
Nd 7.262 0.922 1.380
Nd 7.262 -0.922 4.139
Nd 10.787 1.310 1.380
Nd 10.787 -1.310 4.139
Sc 1.503 0.900 4.139
Sc 1.503 -0.900 1.380
Sc 13.020 0.900 4.139
Sc 13.020 -0.900 1.380
```

=====

Taking the most stable structure as the zero point, the relative energies in kJ/mol of atoms are w 0.0; x 13.6.

=====

## w
Compound: TbNd4Sc3
Source: Alexandria
Functional: PBE
Structure: relaxed

Computed properties:
The density of states at the Fermi level comes out at 20.95 states/eV/cell. The crystal system is orthorhombic.

Cell and atoms, written as extended XYZ:
```
16
Lattice="11.368 0.000 0.000 0.000 6.090 0.000 0.000 0.000 7.054" Properties=species:S:1:pos:R:3 pbc="T T T"
Tb 0.000 0.985 0.000
Tb 5.684 5.105 3.527
Nd 0.000 0.990 3.487
Nd 0.000 4.117 5.264
Nd 2.822 3.040 7.019
Nd 2.862 3.050 3.492
Nd 5.684 1.973 1.737
Nd 5.684 5.100 7.013
Nd 8.506 3.050 3.492
Nd 8.547 3.040 7.019
Sc 0.000 4.064 1.727
Sc 2.800 6.068 1.735
Sc 2.884 0.022 5.262
Sc 5.684 2.026 5.254
Sc 8.484 0.022 5.262
Sc 8.568 6.068 1.735
```

=====

## x
Compound: TbNd4Sc3
Source: Alexandria
Functional: PBE
Structure: relaxed

Computed properties:
The density of states at the Fermi level comes out at 29.53 states/eV/cell. The crystal system is monoclinic.

Cell and atoms, written as extended XYZ:
```
16
Lattice="27.354 0.000 0.000 0.000 3.473 0.000 -0.365 0.000 5.679" Properties=species:S:1:pos:R:3 pbc="T T T"
Tb 0.000 0.000 0.000
Tb 13.677 1.737 0.000
Nd 2.545 0.000 3.014
Nd 5.171 0.000 0.345
Nd 8.141 1.737 5.334
Nd 10.767 1.737 2.665
Nd 16.222 1.737 3.014
Nd 18.848 1.737 0.345
Nd 21.818 0.000 5.334
Nd 24.444 0.000 2.665
Sc -0.183 1.737 2.839
Sc 5.421 1.737 3.235
Sc 7.890 0.000 2.443
Sc 13.494 0.000 2.839
Sc 19.098 0.000 3.235
Sc 21.568 1.737 2.443
```

=====

Taking the most stable structure as the zero point, the relative energies in kJ/mol of atoms are w 0.0; x 23.6.